Density functional theory data (PBE) for a relaxed structure of FeCuSnC2.

Results
Symmetry: P4/mmm
Calculated total energy, Ry per atom: -0.376
Calculated formation energy, meV per atom: 1892
Magnetic moment, μB/f.u.: 2.58

Unit cell a=3.786 b=3.786 c=4.897 alpha=90.00 beta=90.00 gamma=90.00
Sites, in units of the cell vectors:
Fe1 0.000 0.000 0.000
Cu1 0.000 0.000 0.500
Sn1 0.500 0.500 0.000
C1 0.000 0.500 0.500
C2 0.500 0.000 0.500

Density functional theory data (PBE) for a relaxed structure of TaBeAs2.

Results
Symmetry: C2/m
Calculated total energy, Ry per atom: -0.441
Calculated formation energy, meV per atom: 220
Magnetic moment, μB/f.u.: 0.00

Unit cell a=4.770 b=4.770 c=4.627 alpha=92.53 beta=92.53 gamma=37.65
Sites, in units of the cell vectors:
Ta1 0.000 0.000 0.000
Be1 0.500 0.500 0.500
As1 0.277 0.277 0.765
As2 0.723 0.723 0.235

Q: Look up the calculated formation energy of the first one.
A: 1892 meV per atom

Q: Number 2 is which compound?
A: TaBeAs2

Q: What is the calculated total energy in the second record?
A: -0.441 Ry per atom

Q: Which formula does entry 2 have?
A: TaBeAs2